Entry from the Alexandria database: an optimized crystal structure of Hf6TcAu3 (PBE-GGA).

Properties
Calculated density (g/cm3): 13.983
E_form (meV/atom): -163
SG: P2_1/c, No. 14

The structure in POSCAR format:
```
Hf6TcAu3
1.0
5.375 0.000 -0.062
0.000 8.410 0.000
-0.024 0.000 9.248
Au Hf Tc
6 12 2
Direct
0.359 0.094 0.248 Au
0.000 0.000 0.500 Au
0.859 0.406 0.748 Au
0.641 0.906 0.752 Au
0.500 0.500 0.000 Au
0.141 0.594 0.252 Au
0.077 0.315 0.054 Hf
0.637 0.386 0.262 Hf
0.412 0.827 0.044 Hf
0.363 0.614 0.738 Hf
0.912 0.673 0.544 Hf
0.577 0.185 0.554 Hf
0.923 0.685 0.946 Hf
0.137 0.114 0.762 Hf
0.423 0.815 0.446 Hf
0.588 0.173 0.956 Hf
0.863 0.886 0.238 Hf
0.088 0.327 0.456 Hf
0.000 0.000 0.000 Tc
0.500 0.500 0.500 Tc
```